Entry from Alexandria via LeMat-Bulk: a relaxed MgCdFe crystal (PBEsol).

Energy (eV for the cell shown): -10.9
Energy relative to the elements (eV per atom): 0.3292

Cell lengths 4.5170, 4.5170, 2.8343 Å; angles 90.00, 90.00, 120.00 degrees
Last column: nearest neighbours and their distance in Å.
Space group P3m1 (No. 156)
Symmetry-distinct sites (fractional):
1 Mg 0.0000 0.0000 0.0000 (multiplicity 1)  3 Cd 2.78, 3 Fe 2.79, 2 Mg 2.83
2 Cd 0.6667 0.3333 0.6592 (multiplicity 1)  3 Fe 2.75, 3 Mg 2.78, 2 Cd 2.83
3 Fe 0.3333 0.6667 0.3479 (multiplicity 1)  3 Cd 2.75, 3 Mg 2.79, 2 Fe 2.83

***

Entry from Alexandria via LeMat-Bulk: a relaxed Ga2SnHg crystal (PBEsol).

Energy above the lowest structure with this stoichiometry (eV per atom): 0.0185
Energy (eV for the cell shown): -44.9
Energy relative to the elements (eV per atom): 0.0730

Cell lengths 7.7348, 7.7348, 5.8901 Å; angles 90.00, 90.00, 90.00 degrees
Last column: nearest neighbours and their distance in Å.
Space group I-42d (No. 122)
Symmetry-distinct sites (fractional):
1 Ga 0.2448 0.2500 0.1250 (multiplicity 8)  2 Hg 2.80, 2 Sn 2.86, 2 Ga 2.95
2 Sn 0.0000 0.0000 0.5000 (multiplicity 4)  4 Ga 2.86, 2 Hg 2.95
3 Hg 0.0000 0.0000 0.0000 (multiplicity 4)  4 Ga 2.80, 2 Sn 2.95

***

Entry from Alexandria via LeMat-Bulk: a relaxed BaRuO3 crystal (PBEsol).

Energy (eV for the cell shown): -24.1
Formation energy without anion corrections (meV/atom): 790

Cell lengths 4.5409, 4.5409, 4.5409 Å; angles 90.00, 90.00, 90.00 degrees
Last column: nearest neighbours and their distance in Å.
Space group Pm-3m (No. 221)
Symmetry-distinct sites (fractional):
1 Ba 0.0000 0.0000 0.0000 (multiplicity 1)  6 O 2.27
2 Ru 0.5000 0.5000 0.5000 (multiplicity 1)  12 O 3.21
3 O 0.0000 0.0000 0.5000 (multiplicity 3)  2 Ba 2.27

***

Entry from Alexandria via LeMat-Bulk: a relaxed KBa2Sr crystal (PBEsol).

Energy above the lowest structure with this stoichiometry (eV per atom): 0.0320
Energy (eV for the cell shown): -6.9
Energy relative to the elements (eV per atom): 0.0850

Cell lengths 4.9270, 4.9270, 9.7681 Å; angles 90.00, 90.00, 90.00 degrees
Last column: nearest neighbours and their distance in Å.
Space group P4mm (No. 99)
Symmetry-distinct sites (fractional):
1 K 0.0000 0.0000 0.0000 (multiplicity 1)  4 Sr 4.28, 5 Ba 4.36-4.77
2 Ba 0.0000 0.0000 0.4882 (multiplicity 1)  4 Sr 4.16, 4 Ba 4.22
3 Ba 0.5000 0.5000 0.7318 (multiplicity 1)  4 Ba 4.22, 4 K 4.36, 1 Sr 4.65
4 Sr 0.5000 0.5000 0.2554 (multiplicity 1)  5 Ba 4.16-4.65, 4 K 4.28